Entry 1:
## MgMoW (meta-GGA SCAN)

Data for a crystal of MgMoW relaxed with PBEsol. Values from VASP.

```
&SYSTEM
  ibrav = 0, nat = 3, ntyp = 3
/
ATOMIC_SPECIES
Mg 24.30 Mg.upf
W 183.84 W.upf
Mo 95.94 Mo.upf
ATOMIC_POSITIONS angstrom
Mg 1.323 2.247 4.053
W 0.000 0.000 2.734
Mo 1.323 2.247 1.329
CELL_PARAMETERS angstrom
2.646 0.000 0.000
0.000 4.493 0.000
-1.323 -2.247 4.058
```

The total DFT energy (no corrections) comes out at -1.3284 hartree per atom. Its density of states at the Fermi level is 0.42 states/eV/atom. As for the energy above the lowest structure with this stoichiometry: 0.00 eV per formula unit. The calculated formation energy is 0.368 eV per atom.

Entry 2:
## PrSnRu (meta-GGA SCAN)

Data for a crystal of PrSnRu relaxed with PBEsol. Values from VASP.

```
&SYSTEM
  ibrav = 0, nat = 12, ntyp = 3
/
ATOMIC_SPECIES
Pr 140.91 Pr.upf
Sn 118.71 Sn.upf
Ru 101.07 Ru.upf
ATOMIC_POSITIONS angstrom
Pr 1.206 5.896 3.543
Pr 3.618 2.261 0.247
Pr 3.618 1.374 4.037
Sn 3.618 4.457 5.270
Ru 1.206 3.227 4.934
Sn 3.618 6.448 1.480
Ru 1.206 0.408 1.144
Ru 3.618 4.043 2.646
Pr 1.206 5.009 7.333
Sn 1.206 2.813 2.310
Sn 1.206 0.822 6.100
Ru 3.618 6.861 6.436
CELL_PARAMETERS angstrom
4.824 0.000 0.000
0.000 7.270 0.000
0.000 0.000 7.580
```

The total DFT energy (no corrections) comes out at -1.4193 hartree per atom. Its density of states at the Fermi level is 0.61 states/eV/atom. The calculated formation energy is -0.596 eV per atom.

Entry 3:
## GeH2Rh2 (meta-GGA SCAN)

Data for a crystal of GeH2Rh2 relaxed with PBEsol. Values from VASP.

```
&SYSTEM
  ibrav = 0, nat = 5, ntyp = 3
/
ATOMIC_SPECIES
Rh 102.91 Rh.upf
Ge 72.64 Ge.upf
H 1.01 H.upf
ATOMIC_POSITIONS angstrom
Rh 3.035 1.597 1.569
Ge 0.000 0.000 0.000
Rh 1.354 -1.050 1.916
H 2.819 -0.216 1.034
H 1.571 0.763 2.452
CELL_PARAMETERS angstrom
-1.055 -0.682 2.734
1.441 -2.639 -0.102
4.002 3.868 0.853
```

The total DFT energy (no corrections) comes out at -0.6944 hartree per atom. Its density of states at the Fermi level is 0.37 states/eV/atom.

Entry 4:
## La5ZnPb3 (meta-GGA SCAN)

Data for a crystal of La5ZnPb3 relaxed with PBEsol. Values from VASP.

```
&SYSTEM
  ibrav = 0, nat = 18, ntyp = 3
/
ATOMIC_SPECIES
Pb 207.20 Pb.upf
La 138.91 La.upf
Zn 65.41 Zn.upf
ATOMIC_POSITIONS angstrom
Pb -3.632 3.922 5.825
Pb -5.143 3.385 0.762
Pb -5.599 3.264 -4.527
La -8.275 2.153 1.436
Zn 0.000 0.000 0.000
Pb -1.681 1.107 3.452
La -2.620 4.353 2.574
La -3.912 -1.571 3.706
La -5.135 1.554 3.740
La -4.971 -0.086 -5.284
Pb -6.173 -0.627 1.213
Pb -2.851 0.716 -2.707
La -3.042 0.606 0.540
La -2.693 0.676 6.703
La -3.479 4.066 -1.950
La -6.181 1.204 -1.764
La -4.958 -1.921 -1.798
Zn -1.223 3.125 0.034
CELL_PARAMETERS angstrom
-2.446 6.250 0.068
-6.004 -2.271 -7.302
-2.866 -1.221 9.210
```

The total DFT energy (no corrections) comes out at -1.8920 hartree per atom. Its density of states at the Fermi level is 0.79 states/eV/atom. The calculated formation energy is -0.775 eV per atom.

Entry 5:
## CuSnTe3 (meta-GGA SCAN)

Data for a crystal of CuSnTe3 relaxed with PBEsol. Values from VASP.

```
&SYSTEM
  ibrav = 0, nat = 5, ntyp = 3
/
ATOMIC_SPECIES
Te 127.60 Te.upf
Sn 118.71 Sn.upf
Cu 63.55 Cu.upf
ATOMIC_POSITIONS angstrom
Te -2.112 -0.081 1.437
Te -0.726 2.263 -0.938
Te -1.243 -1.184 -1.893
Sn -4.080 0.998 -1.395
Cu 0.000 0.000 0.000
CELL_PARAMETERS angstrom
-1.452 4.527 -1.877
-2.486 -2.367 -3.787
-4.223 -0.163 2.874
```

The total DFT energy (no corrections) comes out at -1.1869 hartree per atom. Its density of states at the Fermi level is 0.71 states/eV/atom. As for the energy above the lowest structure with this stoichiometry: 0.00 eV per formula unit. The formation energy without anion corrections comes out at 0.28 eV/atom.

Entry 6:
## ZrMnAlCr2 (meta-GGA SCAN)

Data for a crystal of ZrMnAlCr2 relaxed with PBEsol. Values from VASP.

```
&SYSTEM
  ibrav = 0, nat = 5, ntyp = 4
/
ATOMIC_SPECIES
Al 26.98 Al.upf
Cr 52.00 Cr.upf
Zr 91.22 Zr.upf
Mn 54.94 Mn.upf
ATOMIC_POSITIONS angstrom
Al -1.199 -2.889 -2.470
Cr 1.379 -1.551 -1.020
Cr -1.117 0.322 -1.999
Zr 0.000 0.000 0.000
Mn -1.461 -1.660 0.549
CELL_PARAMETERS angstrom
-2.234 0.644 -3.997
2.757 -3.101 -2.041
-2.922 -3.320 1.098
```

The total DFT energy (no corrections) comes out at -0.6345 hartree per atom. Its density of states at the Fermi level is 0.66 states/eV/atom. The calculated formation energy is 1.431 eV per atom.